Below is a geometry-optimized BaSrI2 structure, with properties calculated at the PBE-GGA level.

Cell: 8.4714 8.4714 8.4714 Å, 90.00 90.00 90.00°
Closest atoms and distances in Å follow each position.
Space group Fm-3m (No. 225)
Inequivalent atoms, fractional coordinates:
Ba1 0.0000 0.0000 0.0000  8 I 3.67
Sr1 0.0000 0.0000 0.5000  8 I 3.67
I1 0.2500 0.2500 0.2500  4 Ba 3.67, 4 Sr 3.67

## Properties
relative energy among the computed polymorphs	112.7	meV per atom
uncorrected formation energy	-1.072	eV per atom

---

Below is a geometry-optimized Ba2SrI6 structure, with properties calculated at the PBE-GGA level.

Cell: 9.1251 16.1459 11.2101 Å, 90.00 95.44 90.00°
Closest atoms and distances in Å follow each position.
Space group C2/c (No. 15)
Inequivalent atoms, fractional coordinates:
Ba1 0.0357 0.1647 0.0244  6 I 3.38-3.62
Sr1 0.0000 0.4579 0.7500  8 I 3.33-3.67
I1 0.0931 0.3785 0.0425  2 Ba 3.49-3.61, 2 Sr 3.55-3.67
I2 0.1681 0.0267 0.6473  1 Sr 3.33, 2 Ba 3.38-3.55
I3 0.2364 0.2963 0.6995  1 Sr 3.47, 2 Ba 3.57-3.62

## Properties
relative energy among the computed polymorphs	45.8	meV per atom
uncorrected formation energy	-1.699	eV per atom

---

Below is a geometry-optimized BaSr2I6 structure, with properties calculated at the PBE-GGA level.

Cell: 8.1606 8.1606 24.5773 Å, 90.00 90.00 90.00°
Closest atoms and distances in Å follow each position.
Space group P-4b2 (No. 117)
Inequivalent atoms, fractional coordinates:
Ba1 0.0000 0.0000 0.0000  8 I 3.58-3.60
Ba2 0.0000 0.5000 0.5000  8 I 3.59
Sr1 0.0000 0.0000 0.3315  8 I 3.44-3.59
Sr2 0.0000 0.5000 0.1682  8 I 3.51-3.52
I1 0.2421 0.2422 0.4131  2 Sr 3.44-3.59, 2 Ba 3.59
I2 0.2441 0.2450 0.7502  4 Sr 3.46-3.57
I3 0.2492 0.2487 0.0870  2 Sr 3.51, 2 Ba 3.58-3.60

## Properties
relative energy among the computed polymorphs	30.8	meV per atom
uncorrected formation energy	-1.691	eV per atom

---

Number 1: raw total energy -2.748 eV/atom. Number 2: raw total energy -3.346 eV/atom. Number 3: raw total energy -3.312 eV/atom.